(1)
Ca3LaAl8 | GGA-PBE | optimized geometry

```
Ca3LaAl8
1.0
5.675 0.000 0.000
2.837 4.915 0.000
2.837 1.638 9.349
Al Ca La
8 3 1
Direct
0.188 0.188 0.437
0.937 0.937 0.689
0.938 0.438 0.186
0.937 0.438 0.689
0.688 0.688 0.937
0.438 0.937 0.689
0.438 0.438 0.186
0.438 0.938 0.186
0.000 0.000 0.999
0.500 0.500 0.501
0.375 0.375 0.875
0.875 0.875 0.376
```

Computed properties:
The energy relative to the elements is -0.373 eV/atom. As for the total magnetization: 0.000 μB/atom. The calculation puts the electronic total energy at -3.779 eV per atom. The polymorph energy (0 for the lowest one) is 0.000 eV/atom.

(2)
TiGaHg2 | GGA-PBE | optimized geometry

```
TiGaHg2
1.0
7.622 0.000 0.000
0.000 7.622 0.000
3.811 3.811 2.911
Ti Hg Ga
2 4 2
Direct
0.250 0.750 0.500
0.500 0.500 0.000
0.375 0.365 0.750
0.635 0.125 0.250
0.875 0.885 0.750
0.115 0.625 0.250
0.000 0.000 0.000
0.750 0.250 0.500
```

Computed properties:
The energy relative to the elements is 0.187 eV/atom. As for the total magnetization: 0.235 μB/atom. The calculation puts the electronic total energy at -2.694 eV per atom.

(3)
GaCuTe | GGA-PBE | optimized geometry

```
GaCuTe
1.0
8.543 0.000 -0.007
0.000 4.399 0.000
-2.315 0.000 7.698
Te Cu Ga
4 4 4
Direct
0.020 0.500 0.691
0.020 0.000 0.191
0.403 0.500 0.478
0.403 0.000 0.978
0.838 0.000 0.685
0.838 0.500 0.185
0.719 0.000 0.965
0.719 0.500 0.465
0.783 0.000 0.355
0.783 0.500 0.855
0.541 0.500 0.161
0.541 0.000 0.661
```

Computed properties:
As for the total magnetization: 0.000 μB/atom. The formation energy from raw total energies is -110 meV/atom. The calculation puts the electronic total energy at -3.532 eV per atom. The polymorph energy (0 for the lowest one) is 0.032 eV/atom.

(4)
BaZnBi2N | GGA-PBE | optimized geometry

```
BaZnBi2N
1.0
6.579 0.000 0.000
0.000 4.448 0.000
0.000 0.000 6.579
Ba Zn Bi N
1 1 2 1
Direct
0.000 0.000 0.000
0.500 0.500 0.500
0.500 0.000 0.000
0.000 0.000 0.500
0.000 0.500 0.000
```

Computed properties:
As for the total magnetization: 0.000 μB/atom. The formation energy from raw total energies is 1269 meV/atom. The calculation puts the electronic total energy at -2.588 eV per atom.

(5)
CsAc3 | GGA-PBE | optimized geometry

```
CsAc3
1.0
4.227 -7.322 0.000
4.227 7.322 0.000
0.000 0.000 6.548
Cs Ac
2 6
Direct
0.667 0.333 0.250
0.333 0.667 0.750
0.685 0.843 0.250
0.843 0.685 0.750
0.157 0.315 0.250
0.157 0.843 0.250
0.315 0.157 0.750
0.843 0.157 0.750
```

Computed properties:
The energy relative to the elements is 0.405 eV/atom. As for the total magnetization: 0.000 μB/atom. The calculation puts the electronic total energy at -2.889 eV per atom. The polymorph energy (0 for the lowest one) is 0.000 eV/atom.

(6)
LiHo4Rh3 | GGA-PBE | optimized geometry

```
LiHo4Rh3
1.0
-2.661 -1.535 -1.683
2.968 -3.531 -1.472
-2.092 -5.066 7.932
Ho Rh Li
4 3 1
Direct
0.000 0.500 0.740
0.000 0.500 0.260
0.000 0.000 0.000
0.000 0.000 0.500
0.500 0.000 0.753
0.500 0.000 0.247
0.500 0.500 0.500
0.500 0.500 0.000
```

Computed properties:
The energy relative to the elements is -0.679 eV/atom. As for the total magnetization: 0.000 μB/atom. The calculation puts the electronic total energy at -5.964 eV per atom.

(7)
MgCdCuOs2 | GGA-PBE | optimized geometry

```
MgCdCuOs2
1.0
4.626 0.000 0.000
0.000 4.383 0.000
0.000 0.000 4.626
Os Cu Cd Mg
2 1 1 1
Direct
0.500 0.000 0.000
0.000 0.000 0.500
0.000 0.500 0.000
0.500 0.500 0.500
0.000 0.000 0.000
```

Computed properties:
The energy relative to the elements is 1.801 eV/atom. As for the total magnetization: 0.502 μB/atom. The calculation puts the electronic total energy at -4.012 eV per atom.

(8)
Nd4YAg | GGA-PBE | optimized geometry

```
Nd4YAg
1.0
3.683 -0.001 0.000
0.001 3.683 0.000
-0.001 -0.001 14.165
Nd Y Ag
4 1 1
Direct
0.500 0.500 0.178
0.000 0.000 0.362
0.500 0.500 0.822
0.000 0.000 0.638
0.000 0.000 0.000
0.500 0.500 0.500
```

Computed properties:
The energy relative to the elements is -0.066 eV/atom. As for the total magnetization: 0.000 μB/atom. The calculation puts the electronic total energy at -4.797 eV per atom.